PBE Tm5CoHg, relaxed; volume = 370.8 Å³ per cell
1.0
6.354 0.457 0.043
2.449 5.881 0.043
3.301 2.376 10.264
Hg Tm Co
2 10 2
Cartesian
6.969 4.823 7.741 Hg
5.134 3.891 2.609 Hg
4.150 4.400 8.890 Tm
7.665 4.084 4.767 Tm
7.953 4.313 1.461 Tm
4.438 4.630 5.584 Tm
4.148 1.552 0.452 Tm
7.955 7.162 9.899 Tm
3.839 1.351 3.758 Tm
8.264 7.362 6.593 Tm
4.940 7.640 7.741 Tm
7.163 1.073 2.609 Tm
0.000 0.000 0.000 Co
1.650 1.188 5.132 Co

---

PBE Tm3CoHg2, relaxed; volume = 281.2 Å³ per cell
1.0
5.107 0.001 -0.008
0.000 6.935 0.844
-2.565 -0.952 7.828
Hg Tm Co
4 6 2
Cartesian
0.008 1.149 5.005 Hg
2.562 1.367 3.237 Hg
-0.021 4.616 5.428 Hg
2.533 4.835 3.660 Hg
-0.002 -0.251 2.063 Tm
2.769 5.201 0.630 Tm
-0.228 0.782 8.035 Tm
2.543 2.767 6.180 Tm
-0.002 3.217 2.485 Tm
2.543 6.235 6.602 Tm
-2.347 4.249 8.460 Co
4.888 1.734 0.204 Co

---

PBE Tm4Co2Hg, relaxed; volume = 324.6 Å³ per cell
1.0
-1.159 8.010 3.459
-4.455 -6.157 4.843
6.756 0.168 -1.863
Tm Co Hg
8 4 2
Cartesian
0.071 3.011 1.631 Tm
-1.939 2.347 5.351 Tm
3.356 5.762 3.029 Tm
1.505 3.345 4.744 Tm
0.132 6.116 2.894 Tm
2.377 0.205 2.351 Tm
3.415 2.435 0.023 Tm
-0.676 -0.513 4.133 Tm
4.936 4.308 1.390 Co
-2.488 -1.329 5.786 Co
3.382 -2.225 2.013 Co
2.613 3.038 2.409 Co
0.599 -2.699 2.226 Hg
-0.634 0.127 0.977 Hg

---

PBE Tm2CoHg, relaxed; volume = 86.0 Å³ per cell; energy above the most stable polymorph in this dataset = 116 meV per atom
1.0
-4.027 1.408 2.518
-3.491 -3.322 1.148
-0.606 -1.431 4.704
Tm Co Hg
2 1 1
Cartesian
-2.031 -0.836 2.093 Tm
-6.093 -2.509 6.278 Tm
-4.062 -1.673 4.185 Co
0.000 0.000 0.000 Hg

---

| no. | M_tot (μB/f.u.) | DOS at the Fermi energy (states/eV/atom) | DFT formation energy (meV per atom) |
| --- | --- | --- | --- |
| 1 | 0.000 | 1.07 | -99 |
| 2 | 0.000 | 0.71 | -329 |
| 3 | 0.000 | 0.85 | -204 |
| 4 | 0.628 | 0.50 | -256 |